1.
VASP calculation (PBE) on a geometry-optimized PmNdGaSn structure.

Properties
Energy above the lowest structure with this stoichiometry in eV/atom: 0.145
Energy of formation in eV per atom: -0.57
Theoretical density in g/cm3: 7.28
Space-group type: F-43m (216)
Density of states at the Fermi level in states/eV per cell: 2.52

Cell and atoms, written as CIF:
```
data_PmNdGaSn
_cell_length_a 5.362
_cell_length_b 5.362
_cell_length_c 5.362
_cell_angle_alpha 60.00
_cell_angle_beta 60.00
_cell_angle_gamma 60.00
_symmetry_space_group_name_H-M 'P 1'
_symmetry_Int_Tables_number 1
loop_
_symmetry_equiv_pos_as_xyz
'x,y,z'
loop_
_atom_site_label
_atom_site_fract_x
_atom_site_fract_y
_atom_site_fract_z
Sn1 0.250 0.250 0.250
Ga1 0.750 0.750 0.750
Nd1 0.500 0.500 0.500
Pm1 0.000 0.000 0.000
```


2.
VASP calculation (PBE) on a geometry-optimized Th4AgPd structure.

Properties
Energy above the lowest structure with this stoichiometry in eV/atom: 0.000
Energy of formation in eV per atom: -0.28
Theoretical density in g/cm3: 11.51
Space-group type: P4/mcc (124)
Density of states at the Fermi level in states/eV per cell: 12.99

Cell and atoms, written as CIF:
```
data_Th4AgPd
_cell_length_a 5.882
_cell_length_b 7.485
_cell_length_c 7.485
_cell_angle_alpha 90.00
_cell_angle_beta 90.00
_cell_angle_gamma 90.00
_symmetry_space_group_name_H-M 'P 1'
_symmetry_Int_Tables_number 1
loop_
_symmetry_equiv_pos_as_xyz
'x,y,z'
loop_
_atom_site_label
_atom_site_fract_x
_atom_site_fract_y
_atom_site_fract_z
Th1 0.500 0.347 0.836
Th2 0.000 0.164 0.653
Th3 0.500 0.653 0.164
Th4 0.000 0.347 0.164
Th5 0.500 0.836 0.653
Th6 0.000 0.653 0.836
Th7 0.500 0.164 0.347
Th8 0.000 0.836 0.347
Pd1 0.250 0.500 0.500
Pd2 0.750 0.500 0.500
Ag1 0.750 0.000 0.000
Ag2 0.250 0.000 0.000
```